1.
First-principles (PBE) data for a relaxed Dy4Hf2Cu crystal, as listed in the Open Quantum Materials Database.

Cell lengths 10.898, 6.706, 5.356 Å; angles 90.00, 98.12, 90.00 degrees
Space group C2/m (No. 12)
Unique sites:
Dy (0.151, 0.248, 0.216) [8 per cell]
Hf (0.087, 0.500, 0.706) [4 per cell]
Cu (0.000, 0.000, 0.500) [2 per cell]

E_tot in eV per atom: -5.582
Calculated volume in Å³/atom: 27.67
Size of the total moment in μB per formula unit: 0.0

---

2.
First-principles (PBE) data for a relaxed Dy4HoAg5 crystal, as listed in the Open Quantum Materials Database.

Cell lengths 3.613, 3.613, 18.170 Å; angles 90.00, 90.00, 90.00 degrees
Space group P4/mmm (No. 123)
Unique sites:
Dy (0.000, 0.000, 0.100) [2 per cell]
Dy (0.000, 0.000, 0.301) [2 per cell]
Ho (0.000, 0.000, 0.500) [1 per cell]
Ag (0.500, 0.500, 0.000) [1 per cell]
Ag (0.500, 0.500, 0.200) [2 per cell]
Ag (0.500, 0.500, 0.401) [2 per cell]

E_tot in eV per atom: -4.046
Calculated volume in Å³/atom: 23.72
Size of the total moment in μB per formula unit: 0.0

---

3.
First-principles (PBE) data for a relaxed CsTmTe2O8 crystal, as listed in the Open Quantum Materials Database.

Cell lengths 5.9267, 5.9267, 7.8790 Å; angles 90.00, 90.00, 120.00 degrees
Space group P-3m1 (No. 164)
Unique sites:
Cs (0.0000, 0.0000, 0.0000) [1 per cell]
Tm (0.0000, 0.0000, 0.5000) [1 per cell]
Te (0.3333, 0.6667, 0.2460) [2 per cell]
O (0.1669, 0.3339, 0.3296) [6 per cell]
O (0.3333, 0.6667, 0.0153) [2 per cell]

E_tot in eV per atom: -5.855
Calculated volume in Å³/atom: 19.97
Size of the total moment in μB per formula unit: 0.0

---

4.
First-principles (PBE) data for a relaxed BaInPdPb2 crystal, as listed in the Open Quantum Materials Database.

Cell lengths 5.066, 5.066, 11.724 Å; angles 90.00, 90.00, 90.00 degrees
Space group I4mm (No. 107)
Unique sites:
Ba (0.000, 0.000, 0.000) [2 per cell]
In (0.000, 0.000, 0.590) [2 per cell]
Pd (0.000, 0.000, 0.362) [2 per cell]
Pb (0.000, 0.500, 0.254) [4 per cell]

E_tot in eV per atom: -3.931
Calculated volume in Å³/atom: 30.09

---

5.
First-principles (PBE) data for a relaxed Y3FeCo8 crystal, as listed in the Open Quantum Materials Database.

Cell lengths 5.0265, 5.0265, 23.9166 Å; angles 90.00, 90.00, 120.00 degrees
Space group R-3m (No. 166, hexagonal axes)
Unique sites:
Y (0.0000, 0.0000, 0.0000) [3 per cell]
Y (0.0000, 0.0000, 0.1395) [6 per cell]
Fe (0.0000, 0.0000, 0.5000) [3 per cell]
Co (0.0000, 0.0000, 0.3333) [6 per cell]
Co (0.0009, 0.5004, 0.9184) [18 per cell]

E_tot in eV per atom: -7.204
Calculated volume in Å³/atom: 14.54
Size of the total moment in μB per formula unit: 11.6

---

6.
First-principles (PBE) data for a relaxed Hf2Ni2SnGe crystal, as listed in the Open Quantum Materials Database.

Cell lengths 10.372, 4.232, 10.380 Å; angles 90.00, 109.50, 90.00 degrees
Space group Pm (No. 6)
Unique sites:
Hf (0.000, 0.000, 0.000) [1 per cell]
Hf (0.121, 0.500, 0.362) [1 per cell]
Hf (0.251, 0.000, 0.742) [1 per cell]
Hf (0.373, 0.500, 0.116) [1 per cell]
Hf (0.494, 0.000, 0.485) [1 per cell]
Hf (0.627, 0.500, 0.876) [1 per cell]
Hf (0.754, 0.000, 0.239) [1 per cell]
Hf (0.879, 0.500, 0.610) [1 per cell]
Ni (0.001, 0.000, 0.736) [1 per cell]
Ni (0.124, 0.500, 0.121) [1 per cell]
Ni (0.243, 0.000, 0.485) [1 per cell]
Ni (0.380, 0.500, 0.872) [1 per cell]
Ni (0.494, 0.000, 0.234) [1 per cell]
Ni (0.624, 0.500, 0.616) [1 per cell]
Ni (0.751, 0.000, 0.998) [1 per cell]
Ni (0.879, 0.500, 0.363) [1 per cell]
Sn (0.123, 0.500, 0.867) [1 per cell]
Sn (0.375, 0.500, 0.616) [1 per cell]
Sn (0.625, 0.500, 0.364) [1 per cell]
Sn (0.750, 0.000, 0.741) [1 per cell]
Ge (0.001, 0.000, 0.490) [1 per cell]
Ge (0.248, 0.000, 0.241) [1 per cell]
Ge (0.499, 0.000, 0.993) [1 per cell]
Ge (0.875, 0.500, 0.118) [1 per cell]

E_tot in eV per atom: -7.287
Calculated volume in Å³/atom: 17.89
Size of the total moment in μB per formula unit: 0.0

---

7.
First-principles (PBE) data for a relaxed Nb4TlIO5 crystal, as listed in the Open Quantum Materials Database.

Cell lengths 4.256, 4.256, 9.784 Å; angles 90.00, 90.00, 90.00 degrees
Space group P4/mmm (No. 123)
Unique sites:
Nb (0.000, 0.000, 0.203) [2 per cell]
Nb (0.000, 0.500, 0.000) [2 per cell]
Tl (0.500, 0.500, 0.500) [1 per cell]
I (0.000, 0.000, 0.500) [1 per cell]
O (0.000, 0.500, 0.213) [4 per cell]
O (0.500, 0.500, 0.000) [1 per cell]

E_tot in eV per atom: -7.957
Calculated volume in Å³/atom: 16.11
Size of the total moment in μB per formula unit: 0.0

---

8.
First-principles (PBE) data for a relaxed CsZrZn crystal, as listed in the Open Quantum Materials Database.

Cell lengths 7.120, 7.120, 7.120 Å; angles 90.00, 90.00, 90.00 degrees
Space group F-43m (No. 216)
Unique sites:
Cs (0.000, 0.000, 0.000) [4 per cell]
Zr (0.250, 0.250, 0.250) [4 per cell]
Zn (0.250, 0.250, 0.750) [4 per cell]

E_tot in eV per atom: -1.872
Calculated volume in Å³/atom: 30.08
Size of the total moment in μB per formula unit: 0.0

---

- The lowest calculated volume belongs to which entry?
  Y3FeCo8